[1]
The following is a PBE with a Hubbard U calculation of a relaxed NbCrIO2 crystal, from Alexandria.

Structure (POSCAR):
```
NbCrIO2
1.0
3.968 0.000 0.000
0.000 3.968 0.000
0.000 0.000 5.474
Nb Cr I O
1 1 1 2
Direct
0.000 0.000 0.000
0.500 0.500 0.500
0.500 0.500 0.000
0.000 0.500 0.500
0.500 0.000 0.500
```

Distance to the lowest polymorph of the same formula: 1.0446 eV per atom
Total moment: 5.6 μB per formula unit



[2]
The following is a PBE with a Hubbard U calculation of a relaxed NbCrIO2 crystal, from Alexandria.

Structure (POSCAR):
```
NbCrIO2
1.0
4.011 0.000 0.000
0.000 4.011 0.000
0.000 0.000 6.152
Nb Cr I O
1 1 1 2
Direct
0.000 0.000 0.000
0.500 0.500 0.500
0.000 0.000 0.500
0.000 0.500 0.000
0.500 0.000 0.000
```

Distance to the lowest polymorph of the same formula: 0.0000 eV per atom
Total moment: 4.9 μB per formula unit